# ScSiAu

ScSiAu after structural relaxation (PBE, Alexandria via LeMat-Bulk).

```
ScSiAu
1.0
-3.150 2.006 3.633
-0.640 -7.380 0.937
1.838 -1.238 2.276
Si Au Sc
2 2 2
Direct
0.171 0.725 0.411
0.700 0.732 0.403
0.310 0.394 0.741
0.561 0.063 0.073
0.820 0.433 0.203
0.051 0.025 0.611
```

---

# ScSiAu

ScSiAu after structural relaxation (PBE, Alexandria via LeMat-Bulk).

```
ScSiAu
1.0
5.357 -0.003 -0.004
1.671 3.882 0.005
-1.368 2.877 5.509
Au Sc Si
2 2 2
Direct
0.105 0.108 0.140
0.704 0.670 0.415
0.480 0.471 0.039
0.330 0.307 0.516
0.972 0.943 0.602
0.838 0.835 0.953
```

---

# ScSiAu

ScSiAu after structural relaxation (PBE, Alexandria via LeMat-Bulk).

```
ScSiAu
1.0
-3.505 0.869 2.737
3.316 -3.767 5.443
1.429 2.675 0.981
Si Sc Au
2 2 2
Direct
0.457 0.798 0.303
0.957 0.659 0.303
0.457 0.488 0.803
0.957 0.969 0.803
0.957 0.332 0.303
0.457 0.126 0.303
```

---

# ScSi2Au2

ScSi2Au2 after structural relaxation (PBE, Alexandria via LeMat-Bulk).

```
ScSi2Au2
1.0
7.011 0.000 0.000
0.000 7.011 0.000
0.000 0.000 3.626
Au Si Sc
4 4 2
Direct
0.816 0.316 0.500
0.684 0.816 0.500
0.316 0.184 0.500
0.184 0.684 0.500
0.878 0.622 0.000
0.622 0.122 0.000
0.122 0.378 0.000
0.378 0.878 0.000
0.000 0.000 0.000
0.500 0.500 0.000
```

---

Number 1: E_form (uncorrected) -0.572 eV/atom, DOS at the Fermi energy 0.46 states/eV per atom. Number 2: E_form (uncorrected) -0.595 eV/atom, DOS at the Fermi energy 0.51 states/eV per atom. Number 3: E_form (uncorrected) -0.613 eV/atom, DOS at the Fermi energy 0.42 states/eV per atom. Number 4: E_form (uncorrected) -0.162 eV/atom, DOS at the Fermi energy 0.58 states/eV per atom.